AcIn2Hg5 | PBE | relaxed

Properties
Formation energy in kJ/mol of formula units: -180
Energy above the lowest structure with this stoichiometry in meV per atom: 0

Cell lengths 4.9357, 4.9357, 17.9815 Å; angles 90.00, 90.00, 90.00 degrees
Positions (direct):
Ac (0.0000, 0.0000, 0.0000)
Ac (0.5000, 0.5000, 0.5000)
In (0.0000, 0.0000, 0.2443)
In (0.0000, 0.0000, 0.7557)
In (0.5000, 0.5000, 0.2557)
In (0.5000, 0.5000, 0.7443)
Hg (0.0000, 0.0000, 0.5000)
Hg (0.0000, 0.5000, 0.1324)
Hg (0.0000, 0.5000, 0.3676)
Hg (0.0000, 0.5000, 0.6324)
Hg (0.0000, 0.5000, 0.8676)
Hg (0.5000, 0.0000, 0.1324)
Hg (0.5000, 0.0000, 0.3676)
Hg (0.5000, 0.0000, 0.6324)
Hg (0.5000, 0.0000, 0.8676)
Hg (0.5000, 0.5000, 0.0000)